(1)
# YZr3Cu

A relaxed YZr3Cu crystal (PBE, Alexandria via LeMat-Bulk).

Properties
The calculation puts the total energy at -6.857 eV/atom. The value obtained for the formation enthalpy at 0 K is 384 meV/atom. For the energy above the most stable polymorph in this dataset, the calculation gives 0 meV per atom. The total moment is 0.000 μB per atom.

The structure in CIF format:
```
data_YZr3Cu
_cell_length_a 5.027
_cell_length_b 5.027
_cell_length_c 5.027
_cell_angle_alpha 90.00
_cell_angle_beta 90.00
_cell_angle_gamma 90.00
_space_group_name_H-M_alt 'P m -3 m'
_space_group_IT_number 221
_space_group_name_Hall '-P 4 2 3'
loop_
_atom_site_label
_atom_site_type_symbol
_atom_site_fract_x
_atom_site_fract_y
_atom_site_fract_z
Y1 Y 0.000 0.000 0.000
Zr1 Zr 0.000 0.500 0.500
Cu1 Cu 0.500 0.500 0.500
```

=====

(2)
# La4NdDy5

A relaxed La4NdDy5 crystal (PBE, Alexandria via LeMat-Bulk).

Properties
The calculation puts the total energy at -4.522 eV/atom. The value obtained for the formation enthalpy at 0 K is 227 meV/atom. For the energy above the most stable polymorph in this dataset, the calculation gives 35 meV per atom. The total moment is 0.000 μB per atom.

The structure in CIF format:
```
data_La4NdDy5
_cell_length_a 10.627
_cell_length_b 10.627
_cell_length_c 6.214
_cell_angle_alpha 90.00
_cell_angle_beta 90.00
_cell_angle_gamma 90.00
_space_group_name_H-M_alt 'I 4 m m'
_space_group_IT_number 107
_space_group_name_Hall 'I 4 -2'
loop_
_atom_site_label
_atom_site_type_symbol
_atom_site_fract_x
_atom_site_fract_y
_atom_site_fract_z
La1 La 0.000 0.326 0.000
Nd1 Nd 0.000 0.000 0.725
Dy1 Dy 0.000 0.000 0.197
Dy2 Dy 0.189 0.189 0.453
```

=====

(3)
# BaAs

A relaxed BaAs crystal (PBE, Alexandria via LeMat-Bulk).

Properties
The calculation puts the total energy at -4.008 eV/atom. The value obtained for the formation enthalpy at 0 K is -722 meV/atom. The total moment is 0.000 μB per atom.

The structure in CIF format:
```
data_BaAs
_cell_length_a 11.045
_cell_length_b 11.045
_cell_length_c 6.526
_cell_angle_alpha 90.00
_cell_angle_beta 90.00
_cell_angle_gamma 90.00
_space_group_name_H-M_alt 'P 4/m b m'
_space_group_IT_number 127
_space_group_name_Hall '-P 4 2ab'
loop_
_atom_site_label
_atom_site_type_symbol
_atom_site_fract_x
_atom_site_fract_y
_atom_site_fract_z
Ba1 Ba 0.119 0.381 0.000
Ba2 Ba 0.196 0.696 0.500
As1 As 0.078 0.422 0.500
As2 As 0.175 0.675 0.000
```

=====

(4)
# Li7Cd6Hg16

A relaxed Li7Cd6Hg16 crystal (PBE, Alexandria via LeMat-Bulk).

Properties
The calculation puts the total energy at -0.997 eV/atom. The value obtained for the formation enthalpy at 0 K is -179 meV/atom. The total moment is 0.000 μB per atom.

The structure in CIF format:
```
data_Li7Cd6Hg16
_cell_length_a 13.702
_cell_length_b 13.702
_cell_length_c 13.702
_cell_angle_alpha 90.00
_cell_angle_beta 90.00
_cell_angle_gamma 90.00
_space_group_name_H-M_alt 'F m -3 m'
_space_group_IT_number 225
_space_group_name_Hall '-F 4 2 3'
loop_
_atom_site_label
_atom_site_type_symbol
_atom_site_fract_x
_atom_site_fract_y
_atom_site_fract_z
Li1 Li 0.000 0.000 0.000
Li2 Li 0.000 0.250 0.250
Cd1 Cd 0.000 0.000 0.251
Hg1 Hg 0.134 0.134 0.134
Hg2 Hg 0.134 0.134 0.366
```

=====

(5)
# GeTe2Os2

A relaxed GeTe2Os2 crystal (PBE, Alexandria via LeMat-Bulk).

Properties
The calculation puts the total energy at -5.964 eV/atom. For the energy above the most stable polymorph in this dataset, the calculation gives 0 meV per atom. The total moment is 0.000 μB per atom. Its uncorrected formation energy is 0.708 eV/atom.

The structure in CIF format:
```
data_GeTe2Os2
_cell_length_a 4.128
_cell_length_b 4.128
_cell_length_c 13.281
_cell_angle_alpha 90.00
_cell_angle_beta 90.00
_cell_angle_gamma 90.00
_space_group_name_H-M_alt 'I 4/m m m'
_space_group_IT_number 139
_space_group_name_Hall '-I 4 2'
loop_
_atom_site_label
_atom_site_type_symbol
_atom_site_fract_x
_atom_site_fract_y
_atom_site_fract_z
Ge1 Ge 0.000 0.000 0.000
Te1 Te 0.000 0.000 0.372
Os1 Os 0.000 0.500 0.250
```

=====

(6)
# LiScBi

A relaxed LiScBi crystal (PBE, Alexandria via LeMat-Bulk).

Properties
The calculation puts the total energy at -4.589 eV/atom. The value obtained for the formation enthalpy at 0 K is -547 meV/atom. For the energy above the most stable polymorph in this dataset, the calculation gives 0 meV per atom. The total moment is 0.000 μB per atom.

The structure in CIF format:
```
data_LiScBi
_cell_length_a 4.154
_cell_length_b 4.154
_cell_length_c 7.860
_cell_angle_alpha 90.00
_cell_angle_beta 90.00
_cell_angle_gamma 90.00
_space_group_name_H-M_alt 'P 4/n m m'
_space_group_IT_number 129
loop_
_space_group_symop_operation_xyz
'x,y,z'
'-x,-y,-z'
'-y+1/2,x,z'
'y+1/2,-x,-z'
'-x+1/2,-y+1/2,z'
'x+1/2,y+1/2,-z'
'y,-x+1/2,z'
'-y,x+1/2,-z'
'x+1/2,-y,-z'
'-x+1/2,y,z'
'-y,-x,-z'
'y,x,z'
'-x,y+1/2,-z'
'x,-y+1/2,z'
'y+1/2,x+1/2,-z'
'-y+1/2,-x+1/2,z'
loop_
_atom_site_label
_atom_site_type_symbol
_atom_site_fract_x
_atom_site_fract_y
_atom_site_fract_z
Li1 Li 0.250 0.750 0.000
Sc1 Sc 0.250 0.250 0.367
Bi1 Bi 0.250 0.250 0.749
```

=====

(7)
# Mg2TaAu

A relaxed Mg2TaAu crystal (PBE, Alexandria via LeMat-Bulk).

Properties
The calculation puts the total energy at -4.385 eV/atom. The value obtained for the formation enthalpy at 0 K is 195 meV/atom. For the energy above the most stable polymorph in this dataset, the calculation gives 296 meV per atom. The total moment is 0.120 μB per atom.

The structure in CIF format:
```
data_Mg2TaAu
_cell_length_a 6.677
_cell_length_b 6.677
_cell_length_c 6.677
_cell_angle_alpha 90.00
_cell_angle_beta 90.00
_cell_angle_gamma 90.00
_space_group_name_H-M_alt 'F -4 3 m'
_space_group_IT_number 216
_space_group_name_Hall 'F -4 2 3'
loop_
_atom_site_label
_atom_site_type_symbol
_atom_site_fract_x
_atom_site_fract_y
_atom_site_fract_z
Mg1 Mg 0.000 0.000 0.000
Mg2 Mg 0.250 0.250 0.250
Ta1 Ta 0.000 0.000 0.500
Au1 Au 0.250 0.250 0.750
```

=====

(8)
# YAg2F8

A relaxed YAg2F8 crystal (PBE, Alexandria via LeMat-Bulk).

Properties
The calculation puts the total energy at -4.467 eV/atom. The total moment is 0.102 μB per atom. Its uncorrected formation energy is -2.000 eV/atom.

The structure in CIF format:
```
data_YAg2F8
_cell_length_a 7.0171
_cell_length_b 7.0171
_cell_length_c 4.1944
_cell_angle_alpha 90.00
_cell_angle_beta 90.00
_cell_angle_gamma 120.00
_space_group_name_H-M_alt 'P -3'
_space_group_IT_number 147
loop_
_space_group_symop_operation_xyz
'x,y,z'
'-x,-y,-z'
'-y,x-y,z'
'y,-x+y,-z'
'-x+y,-x,z'
'x-y,x,-z'
loop_
_atom_site_label
_atom_site_type_symbol
_atom_site_fract_x
_atom_site_fract_y
_atom_site_fract_z
Y1 Y 0.0000 0.0000 0.0000
Ag1 Ag 0.3333 0.6667 0.7388
F1 F 0.1550 0.3126 0.7360
F2 F 0.3333 0.6667 0.2381
```